A plane-wave DFT calculation with GGA-PBE was carried out for KCa2Tl after structural relaxation.

## Properties
SG: Pmmm, No. 47
Magnetic moment (Bohr magnetons per cell): 0.00
Formation energy (eV per atom): 0.031
E_tot (eV/atom): -1.84

abc: 4.177 6.194 5.914
angles: 90.00 90.00 90.00
Element x y z (fractional)
Tl 0.000 0.500 0.500
K 0.500 0.000 0.500
Ca 0.000 0.000 0.000
Ca 0.500 0.500 0.000